Below is crystalline SiB2Se at its relaxed geometry, with properties calculated at the PBE-GGA level.

The energy above the most stable polymorph in this dataset is 0 meV/atom. Its uncorrected formation energy is 0.1325 eV/atom.

The structure belongs to space group I-42d (No. 122); the cell edges are 4.7863, 4.7863 and 9.5502 Å and the angles 90.00°, 90.00° and 90.00°. The inequivalent atoms are Si at (0.0000, 0.0000, 0.0000), B at (0.2388, 0.2500, 0.1250) and Se at (0.0000, 0.0000, 0.5000).